Density functional theory data (meta-GGA SCAN) for a crystal of Ba2InH relaxed with PBEsol.

It has space group I-42d (No. 122), with a = 7.960 Å, b = 7.960 Å, c = 8.234 Å, α = 90.00°, β = 90.00° and γ = 90.00°. The distinct sites, in fractional coordinates, are Ba at (0.155, 0.750, 0.125), In at (0.000, 0.000, 0.500) and H at (0.000, 0.000, 0.000).

The density of states at the Fermi level comes out at 0.586 states/eV per atom. The calculation puts the size of the total moment at 0.00 μB/f.u. As for the total energy: -29.347 eV/atom. The calculation puts the theoretical density at 4.971 g/cm³. As for the crystal system: tetragonal.